DFT (GGA-PBE) results for an optimized crystal structure of DyGa2Ag.

Values from the calculation:
Volume ... 246.6 Å³ per cell
Size of the total moment ... 0.0 μB/f.u.
DOS at the Fermi energy ... 1.693 states/eV/f.u.
Formation enthalpy at 0 K ... -0.402 eV per atom
Calculated total energy ... -3.78 eV/atom

Cell lengths 4.3997, 4.3997, 14.7105 Å; angles 90.00, 90.00, 120.00 degrees
Space group R-3m (No. 166, hexagonal axes)
Inequivalent atoms, fractional coordinates:
1 Dy 0.0000 0.0000 0.0000 [3 per cell]
2 Ga 0.0000 0.0000 0.2223 [6 per cell]
3 Ag 0.0000 0.0000 0.5000 [3 per cell]